ZnAsHPbO5 | GGA-PBE | relaxed

```
ZnAsHPbO5
1.0
6.098 0.000 0.000
0.000 7.603 0.000
0.000 0.000 9.355
Zn As H Pb O
4 4 4 4 20
direct
0.239 0.237 0.007
0.261 0.763 0.507
0.739 0.263 0.993
0.761 0.737 0.493
0.010 0.879 0.187
0.490 0.121 0.687
0.510 0.621 0.813
0.990 0.379 0.313
0.010 0.506 0.989
0.490 0.494 0.489
0.510 0.994 0.011
0.990 0.006 0.511
0.027 0.366 0.672
0.473 0.634 0.172
0.527 0.134 0.328
0.973 0.866 0.828
0.004 0.393 0.935
0.009 0.560 0.426
0.059 0.701 0.078
0.234 0.358 0.220
0.239 0.891 0.297
0.261 0.109 0.797
0.266 0.642 0.720
0.441 0.299 0.578
0.491 0.440 0.926
0.496 0.607 0.435
0.504 0.107 0.065
0.509 0.940 0.574
0.559 0.799 0.922
0.734 0.142 0.780
0.739 0.609 0.703
0.761 0.391 0.203
0.766 0.858 0.280
0.941 0.201 0.422
0.991 0.060 0.074
0.996 0.893 0.565
```

Raw total energy   -5.488 eV per atom

***

AsH2PdO5 | GGA-PBE | relaxed

```
AsH2PdO5
1.0
3.479 -3.895 0.000
3.479 3.895 0.000
-2.924 0.000 6.907
As H Pd O
2 4 2 10
direct
0.080 0.920 0.750
0.920 0.080 0.250
0.373 0.450 0.300
0.450 0.373 0.800
0.550 0.627 0.200
0.627 0.550 0.700
0.000 0.500 0.000
0.500 0.000 0.500
0.184 0.268 0.831
0.193 0.795 0.556
0.205 0.807 0.944
0.268 0.184 0.331
0.384 0.616 0.250
0.616 0.384 0.750
0.732 0.816 0.669
0.795 0.193 0.056
0.807 0.205 0.444
0.816 0.732 0.169
```

Raw total energy   -5.434 eV per atom

***

SmAsHO4 | GGA-PBE | relaxed

```
SmAsHO4
1.0
4.980 0.000 0.000
0.000 5.604 0.000
-0.511 0.000 5.576
Sm As H O
2 2 2 8
direct
0.000 0.244 0.250
0.000 0.756 0.750
0.500 0.328 0.750
0.500 0.672 0.250
0.500 0.000 0.000
0.500 0.000 0.500
0.232 0.419 0.954
0.232 0.581 0.454
0.302 0.090 0.577
0.302 0.910 0.077
0.698 0.090 0.923
0.698 0.910 0.423
0.768 0.419 0.546
0.768 0.581 0.046
```

Total moment   0.0 μB per cell
Raw total energy   -6.495 eV per atom